{"formula": "LiScBeAs2", "functional": "GGA-PBE", "state": "relaxed", "energy_ev_per_atom": -3.790, "formation_energy_ev_per_atom": 0.464, "spacegroup": "No. 123", "cell": [[4.4370, 0.0000, 0.0000], [0.0000, 4.4370, 0.0000], [0.0000, 0.0000, 4.6190]], "species": ["Li", "Sc", "Be", "As", "As"], "frac_coords": [[0.0000, 0.0000, 0.0000], [0.0000, 0.0000, 0.5000], [0.5000, 0.5000, 0.5000], [0.0000, 0.5000, 0.0000], [0.5000, 0.0000, 0.0000]]}